# 1
Material: KBa2Se2
Method: DFT, GGA-PBE
State: optimized geometry

Calculated values
Symmetry: No. 139

Lattice parameters (Å, degrees): 9.0143 9.0143 9.0143 138.99 138.99 59.39
Fractional coordinates of all 5 atoms:
K 0.0000 0.0000 0.0000
Ba 0.2500 0.7500 0.5000
Ba 0.7500 0.2500 0.5000
Se 0.2061 0.2061 0.0000
Se 0.7939 0.7939 0.0000

# 2
Material: KBa2Se2
Method: DFT, GGA-PBE
State: optimized geometry

Calculated values
Symmetry: No. 139

Lattice parameters (Å, degrees): 7.9956 7.9956 7.9956 135.21 135.21 65.20
Fractional coordinates of all 5 atoms:
K 0.0000 0.0000 0.0000
Ba 0.3197 0.3197 0.0000
Ba 0.6803 0.6803 0.0000
Se 0.2500 0.7500 0.5000
Se 0.7500 0.2500 0.5000

Which total DFT energy (no corrections) belongs to each record? In order, -3.75, -3.71 eV/atom.